w | # CaTaFe2, optimized geometry, DFT GGA-PBE
# Size of the total moment = 4.68 μB per cell
# Crystal system = tetragonal
data_CaTaFe2
_cell_length_a 3.7608
_cell_length_b 3.7608
_cell_length_c 9.3493
_cell_angle_alpha 90.00
_cell_angle_beta 90.00
_cell_angle_gamma 90.00
_symmetry_space_group_name_H-M 'I -4 m 2'
_symmetry_Int_Tables_number 119
_symmetry_space_group_name_Hall 'I -4 -2'
loop_
_atom_site_label
_atom_site_type_symbol
_atom_site_fract_x
_atom_site_fract_y
_atom_site_fract_z
Ca1 Ca 0.0000 0.0000 0.0000
Ta1 Ta 0.0000 0.5000 0.2500
Fe1 Fe 0.0000 0.0000 0.5000
Fe2 Fe 0.0000 0.5000 0.7500

---

x | # CaTaFe2, optimized geometry, DFT GGA-PBE
# Size of the total moment = 4.11 μB per cell
# Crystal system = orthorhombic
data_CaTaFe2
_cell_length_a 3.6806
_cell_length_b 3.5609
_cell_length_c 11.3740
_cell_angle_alpha 90.00
_cell_angle_beta 90.00
_cell_angle_gamma 90.00
_symmetry_space_group_name_H-M 'A m m 2'
_symmetry_Int_Tables_number 38
_symmetry_space_group_name_Hall 'A 2 -2'
loop_
_atom_site_label
_atom_site_type_symbol
_atom_site_fract_x
_atom_site_fract_y
_atom_site_fract_z
Ca1 Ca 0.0000 0.0000 0.0000
Ta1 Ta 0.5000 0.0000 0.2845
Fe1 Fe 0.0000 0.0000 0.7390
Fe2 Fe 0.5000 0.0000 0.6272

---

Calculated relative energies: w 326; x 0, given in meV per atom

---

w | # Ca2TaFe, optimized geometry, DFT GGA-PBE
# Size of the total moment = 6.23 μB per cell
# Crystal system = trigonal
data_Ca2TaFe
_cell_length_a 3.1544
_cell_length_b 3.1544
_cell_length_c 31.1018
_cell_angle_alpha 90.00
_cell_angle_beta 90.00
_cell_angle_gamma 120.00
_symmetry_space_group_name_H-M 'R -3 m'
_symmetry_Int_Tables_number 166
_symmetry_space_group_name_Hall '-R 3 2"'
loop_
_atom_site_label
_atom_site_type_symbol
_atom_site_fract_x
_atom_site_fract_y
_atom_site_fract_z
Ca1 Ca 0.0000 0.0000 0.2451
Ta1 Ta 0.0000 0.0000 0.0000
Fe1 Fe 0.0000 0.0000 0.5000

---

x | # Ca2TaFe, optimized geometry, DFT GGA-PBE
# Size of the total moment = 0.00 μB per cell
# Crystal system = cubic
data_Ca2TaFe
_cell_length_a 7.0934
_cell_length_b 7.0934
_cell_length_c 7.0934
_cell_angle_alpha 90.00
_cell_angle_beta 90.00
_cell_angle_gamma 90.00
_symmetry_space_group_name_H-M 'F m -3 m'
_symmetry_Int_Tables_number 225
_symmetry_space_group_name_Hall '-F 4 2 3'
loop_
_atom_site_label
_atom_site_type_symbol
_atom_site_fract_x
_atom_site_fract_y
_atom_site_fract_z
Ca1 Ca 0.2500 0.2500 0.2500
Ta1 Ta 0.0000 0.0000 0.0000
Fe1 Fe 0.0000 0.0000 0.5000

---

Calculated relative energies: w 0; x 518, given in meV per atom

---

w | # Ca2TaFe, optimized geometry, DFT GGA-PBE
# Size of the total moment = 3.21 μB per cell
# Crystal system = orthorhombic
data_Ca2TaFe
_cell_length_a 5.9331
_cell_length_b 10.0902
_cell_length_c 2.9582
_cell_angle_alpha 90.00
_cell_angle_beta 90.00
_cell_angle_gamma 90.00
_symmetry_space_group_name_H-M 'C m m m'
_symmetry_Int_Tables_number 65
_symmetry_space_group_name_Hall '-C 2 2'
loop_
_atom_site_label
_atom_site_type_symbol
_atom_site_fract_x
_atom_site_fract_y
_atom_site_fract_z
Ca1 Ca 0.2500 0.2500 0.0000
Ta1 Ta 0.0000 0.0000 0.5000
Fe1 Fe 0.0000 0.5000 0.5000

---

x | # Ca2TaFe, optimized geometry, DFT GGA-PBE
# Size of the total moment = 0.70 μB per cell
# Crystal system = tetragonal
data_Ca2TaFe
_cell_length_a 4.0604
_cell_length_b 4.0604
_cell_length_c 5.1390
_cell_angle_alpha 90.00
_cell_angle_beta 90.00
_cell_angle_gamma 90.00
_symmetry_space_group_name_H-M 'P 4/m m m'
_symmetry_Int_Tables_number 123
_symmetry_space_group_name_Hall '-P 4 2'
loop_
_atom_site_label
_atom_site_type_symbol
_atom_site_fract_x
_atom_site_fract_y
_atom_site_fract_z
Ca1 Ca 0.0000 0.5000 0.0000
Ta1 Ta 0.0000 0.0000 0.5000
Fe1 Fe 0.5000 0.5000 0.5000

---

y | # Ca2TaFe, optimized geometry, DFT GGA-PBE
# Size of the total moment = 1.46 μB per cell
# Crystal system = monoclinic
data_Ca2TaFe
_cell_length_a 2.9842
_cell_length_b 5.0080
_cell_length_c 5.9136
_cell_angle_alpha 90.00
_cell_angle_beta 92.76
_cell_angle_gamma 90.00
_symmetry_space_group_name_H-M 'P 1 2/m 1'
_symmetry_Int_Tables_number 10
_symmetry_space_group_name_Hall '-P 2y'
loop_
_atom_site_label
_atom_site_type_symbol
_atom_site_fract_x
_atom_site_fract_y
_atom_site_fract_z
Ca1 Ca 0.0188 0.0000 0.2558
Ta1 Ta 0.5000 0.5000 0.0000
Fe1 Fe 0.5000 0.5000 0.5000

---

Calculated relative energies: w 22; x 0; y 15, given in meV per atom

---

w | # CaTaFe, optimized geometry, DFT GGA-PBE
# Size of the total moment = 0.00 μB per cell
# Crystal system = trigonal
data_CaTaFe
_cell_length_a 3.2744
_cell_length_b 3.2744
_cell_length_c 6.7224
_cell_angle_alpha 90.00
_cell_angle_beta 90.00
_cell_angle_gamma 120.00
_symmetry_space_group_name_H-M 'P 3 m 1'
_symmetry_Int_Tables_number 156
_symmetry_space_group_name_Hall 'P 3 -2"'
loop_
_atom_site_label
_atom_site_type_symbol
_atom_site_fract_x
_atom_site_fract_y
_atom_site_fract_z
Ca1 Ca 0.0000 0.0000 0.0000
Ta1 Ta 0.3333 0.6667 0.5570
Fe1 Fe 0.6667 0.3333 0.3420

---

x | # CaTaFe, optimized geometry, DFT GGA-PBE
# Size of the total moment = 2.56 μB per cell
# Crystal system = tetragonal
data_CaTaFe
_cell_length_a 3.2291
_cell_length_b 3.2291
_cell_length_c 11.7340
_cell_angle_alpha 90.00
_cell_angle_beta 90.00
_cell_angle_gamma 90.00
_symmetry_space_group_name_H-M 'I 4 m m'
_symmetry_Int_Tables_number 107
_symmetry_space_group_name_Hall 'I 4 -2'
loop_
_atom_site_label
_atom_site_type_symbol
_atom_site_fract_x
_atom_site_fract_y
_atom_site_fract_z
Ca1 Ca 0.0000 0.0000 0.0000
Ta1 Ta 0.0000 0.0000 0.2773
Fe1 Fe 0.0000 0.0000 0.6915

---

y | # CaTaFe, optimized geometry, DFT GGA-PBE
# Size of the total moment = 0.01 μB per cell
# Crystal system = cubic
data_CaTaFe
_cell_length_a 6.2227
_cell_length_b 6.2227
_cell_length_c 6.2227
_cell_angle_alpha 90.00
_cell_angle_beta 90.00
_cell_angle_gamma 90.00
_symmetry_space_group_name_H-M 'F -4 3 m'
_symmetry_Int_Tables_number 216
_symmetry_space_group_name_Hall 'F -4 2 3'
loop_
_atom_site_label
_atom_site_type_symbol
_atom_site_fract_x
_atom_site_fract_y
_atom_site_fract_z
Ca1 Ca 0.0000 0.0000 0.0000
Ta1 Ta 0.0000 0.0000 0.5000
Fe1 Fe 0.2500 0.2500 0.7500

---

Calculated relative energies: w 249; x 0; y 544, given in meV per atom

---

w | # Ca2Ta2Fe, optimized geometry, DFT GGA-PBE
# Size of the total moment = 0.08 μB per cell
# Crystal system = tetragonal
data_Ca2Ta2Fe
_cell_length_a 3.6475
_cell_length_b 3.6475
_cell_length_c 19.2610
_cell_angle_alpha 90.00
_cell_angle_beta 90.00
_cell_angle_gamma 90.00
_symmetry_space_group_name_H-M 'I 4/m m m'
_symmetry_Int_Tables_number 139
_symmetry_space_group_name_Hall '-I 4 2'
loop_
_atom_site_label
_atom_site_type_symbol
_atom_site_fract_x
_atom_site_fract_y
_atom_site_fract_z
Ca1 Ca 0.0000 0.0000 0.0904
Ta1 Ta 0.0000 0.5000 0.2500
Fe1 Fe 0.0000 0.0000 0.5000

---

x | # Ca2Ta2Fe, optimized geometry, DFT GGA-PBE
# Size of the total moment = 0.40 μB per cell
# Crystal system = tetragonal
data_Ca2Ta2Fe
_cell_length_a 9.0148
_cell_length_b 9.0148
_cell_length_c 2.9713
_cell_angle_alpha 90.00
_cell_angle_beta 90.00
_cell_angle_gamma 90.00
_symmetry_space_group_name_H-M 'P 4/m b m'
_symmetry_Int_Tables_number 127
_symmetry_space_group_name_Hall '-P 4 2ab'
loop_
_atom_site_label
_atom_site_type_symbol
_atom_site_fract_x
_atom_site_fract_y
_atom_site_fract_z
Ca1 Ca 0.1982 0.3018 0.0000
Ta1 Ta 0.0966 0.5966 0.5000
Fe1 Fe 0.0000 0.0000 0.0000

---

Calculated relative energies: w 0; x 433, given in meV per atom

---

w | # CaTb2Fe, optimized geometry, DFT GGA-PBE
# Size of the total moment = 1.68 μB per cell
# Crystal system = trigonal
data_CaTb2Fe
_cell_length_a 3.6820
_cell_length_b 3.6820
_cell_length_c 31.4687
_cell_angle_alpha 90.00
_cell_angle_beta 90.00
_cell_angle_gamma 120.00
_symmetry_space_group_name_H-M 'R -3 m'
_symmetry_Int_Tables_number 166
_symmetry_space_group_name_Hall '-R 3 2"'
loop_
_atom_site_label
_atom_site_type_symbol
_atom_site_fract_x
_atom_site_fract_y
_atom_site_fract_z
Ca1 Ca 0.0000 0.0000 0.0000
Tb1 Tb 0.0000 0.0000 0.1142
Fe1 Fe 0.0000 0.0000 0.5000

---

x | # CaTb2Fe, optimized geometry, DFT GGA-PBE
# Size of the total moment = 1.17 μB per cell
# Crystal system = tetragonal
data_CaTb2Fe
_cell_length_a 3.4619
_cell_length_b 3.4619
_cell_length_c 9.2910
_cell_angle_alpha 90.00
_cell_angle_beta 90.00
_cell_angle_gamma 90.00
_symmetry_space_group_name_H-M 'P 4/m m m'
_symmetry_Int_Tables_number 123
_symmetry_space_group_name_Hall '-P 4 2'
loop_
_atom_site_label
_atom_site_type_symbol
_atom_site_fract_x
_atom_site_fract_y
_atom_site_fract_z
Ca1 Ca 0.0000 0.0000 0.0000
Tb1 Tb 0.5000 0.5000 0.3271
Fe1 Fe 0.0000 0.0000 0.5000

---

Calculated relative energies: w 201; x 0, given in meV per atom